Record 1
Material: YThPdRu
Method: DFT, GGA-PBE
State: optimized geometry

Cell lengths 7.0691, 7.0691, 7.0691 Å; angles 90.00, 90.00, 90.00 degrees
Space group F-43m (No. 216)
Unique sites:
Y: 0.0000 0.0000 0.0000 x4
Th: 0.0000 0.0000 0.5000 x4
Pd: 0.2500 0.2500 0.2500 x4
Ru: 0.2500 0.2500 0.7500 x4

* energy relative to the elements: -0.58 eV/atom
* DFT total energy: -7.666 eV/atom

---

Record 2
Material: Nd8ErMg2
Method: DFT, GGA-PBE
State: optimized geometry

Cell lengths 17.9529, 5.1544, 8.2196 Å; angles 90.00, 108.22, 90.00 degrees
Space group C2/m (No. 12)
Unique sites:
Nd: 0.0498 0.0000 0.2349 x4
Nd: 0.0941 0.5000 0.9590 x4
Nd: 0.1401 0.0000 0.6963 x4
Nd: 0.1840 0.5000 0.4341 x4
Er: 0.0000 0.5000 0.5000 x2
Mg: 0.2271 0.0000 0.1336 x4

* energy relative to the elements: 0.01 eV/atom
* excess energy over the best structure of this formula in the dataset: 0.0000 eV/atom
* DFT total energy: -4.166 eV/atom

---

Record 3
Material: ErNi5B2
Method: DFT, GGA-PBE
State: optimized geometry

Cell lengths 3.4725, 6.1352, 8.3799 Å; angles 90.00, 90.00, 90.00 degrees
Space group Immm (No. 71)
Unique sites:
Er: 0.0000 0.0000 0.0000 x2
Ni: 0.0000 0.1928 0.3417 x8
Ni: 0.0000 0.5000 0.0000 x2
B: 0.0000 0.5000 0.2394 x4

* energy relative to the elements: -0.45 eV/atom
* DFT total energy: -6.305 eV/atom

---

Record 4
Material: MgGePd6
Method: DFT, GGA-PBE
State: optimized geometry

Cell lengths 4.9268, 5.1007, 5.4576 Å; angles 73.00, 85.00, 89.24 degrees
Space group P-1 (No. 2)
Unique sites:
Mg: 0.0000 0.0000 0.0000 x1
Ge: 0.5000 0.5000 0.5000 x1
Pd: 0.0759 0.2655 0.4511 x2
Pd: 0.2617 0.4734 0.9152 x2
Pd: 0.4836 0.9881 0.2531 x2

* energy relative to the elements: -0.33 eV/atom
* excess energy over the best structure of this formula in the dataset: 0.1131 eV/atom
* DFT total energy: -5.001 eV/atom

---

Record 5
Material: NdHo6Th4
Method: DFT, GGA-PBE
State: optimized geometry

Cell lengths 3.4300, 5.8632, 35.7130 Å; angles 90.00, 90.00, 90.00 degrees
Space group Immm (No. 71)
Unique sites:
Nd: 0.0000 0.0000 0.0000 x2
Ho: 0.0000 0.5000 0.1316 x4
Ho: 0.0000 0.5000 0.2329 x4
Ho: 0.0000 0.5000 0.4030 x4
Th: 0.0000 0.0000 0.1825 x4
Th: 0.0000 0.0000 0.4554 x4

* energy relative to the elements: 0.17 eV/atom
* DFT total energy: -5.456 eV/atom

---

Record 6
Material: TbThSN
Method: DFT, GGA-PBE
State: optimized geometry

Cell lengths 3.6873, 3.6873, 6.5855 Å; angles 90.00, 90.00, 120.00 degrees
Space group P3m1 (No. 156)
Unique sites:
Tb: 0.0000 0.0000 0.0000 x1
Th: 0.6667 0.3333 0.4204 x1
S: 0.3333 0.6667 0.7247 x1
N: 0.3333 0.6667 0.2150 x1

* DFT total energy: -7.820 eV/atom

---

Record 7
Material: SrP3Ru
Method: DFT, GGA-PBE
State: optimized geometry

Cell lengths 4.7162, 4.7162, 4.7162 Å; angles 90.00, 90.00, 90.00 degrees
Space group Pm-3m (No. 221)
Unique sites:
Sr: 0.0000 0.0000 0.0000 x1
P: 0.0000 0.5000 0.5000 x3
Ru: 0.5000 0.5000 0.5000 x1

* energy relative to the elements: -0.05 eV/atom
* excess energy over the best structure of this formula in the dataset: 0.0000 eV/atom
* DFT total energy: -5.488 eV/atom

---

Record 8
Material: LiBe2Pb2
Method: DFT, GGA-PBE
State: optimized geometry

Cell lengths 7.6444, 7.6444, 3.4507 Å; angles 90.00, 90.00, 90.00 degrees
Space group P4/mbm (No. 127)
Unique sites:
Li: 0.0000 0.0000 0.0000 x2
Be: 0.1041 0.3959 0.5000 x4
Pb: 0.1843 0.6843 0.0000 x4

* energy relative to the elements: 0.47 eV/atom
* excess energy over the best structure of this formula in the dataset: 0.1216 eV/atom
* DFT total energy: -2.882 eV/atom